Record 1
Computed, not measured: a relaxed NaLiNdAg crystal at the PBE-GGA level of DFT.

Lattice parameters (Å, degrees): 5.2218 5.2218 5.2218 60.00 60.00 60.00
With the nearest neighbours (Å) after each atom.
Atoms (fractional coordinates):
Na 0.0000 0.0000 0.0000  4 Ag 3.20, 4 Li 3.20
Nd 0.5000 0.5000 0.5000  4 Li 3.20, 4 Ag 3.20
Ag 0.2500 0.2500 0.2500  4 Na 3.20, 4 Nd 3.20
Li 0.7500 0.7500 0.7500  4 Nd 3.20, 4 Na 3.20

Summary:
The calculation puts the total energy at -2.6667 eV/atom. The energy relative to the elements is 0.05 eV/atom.

=====

Record 2
Computed, not measured: a relaxed SiSn crystal at the PBE-GGA level of DFT.

Lattice parameters (Å, degrees): 4.3008 6.5729 13.0528 90.00 90.00 90.00
With the nearest neighbours (Å) after each atom.
Atoms (fractional coordinates):
Si 0.0000 0.8828 0.6479  4 Sn 2.62-2.67
Si 0.5000 0.1172 0.8521  4 Sn 2.62-2.67
Si 0.5000 0.1172 0.1479  4 Sn 2.62-2.67
Si 0.0000 0.8828 0.3521  4 Sn 2.62-2.67
Si 0.0000 0.6127 0.0000  4 Sn 2.61-2.62
Si 0.5000 0.3873 0.5000  4 Sn 2.61-2.62
Sn 0.0000 0.8834 0.8528  4 Si 2.62-2.67
Sn 0.5000 0.1166 0.6472  4 Si 2.62-2.67
Sn 0.5000 0.1166 0.3528  4 Si 2.62-2.67
Sn 0.0000 0.8834 0.1472  4 Si 2.62-2.67
Sn 0.0000 0.6133 0.5000  4 Si 2.61-2.62
Sn 0.5000 0.3867 0.0000  4 Si 2.61-2.62

Summary:
The calculation puts the total energy at -4.4332 eV/atom. The formation energy from raw total energies comes out at 27 kJ/mol of atoms.

=====

Record 3
Computed, not measured: a relaxed Ca3CeP3 crystal at the PBE-GGA level of DFT.

Lattice parameters (Å, degrees): 8.7826 8.7826 8.7826 90.00 90.00 90.00
With the nearest neighbours (Å) after each atom.
Atoms (fractional coordinates):
Ca 0.8153 0.3153 0.1847  3 P 2.87
Ca 0.9370 0.9370 0.9370  6 P 2.89-3.20
Ca 0.8185 0.6815 0.3185  6 P 2.90-3.21
Ca 0.1847 0.8153 0.3153  3 P 2.87
Ca 0.1815 0.1815 0.1815  6 P 2.90-3.21
Ca 0.3185 0.8185 0.6815  6 P 2.90-3.21
Ca 0.0630 0.4370 0.5630  6 P 2.89-3.20
Ca 0.3153 0.1847 0.8153  3 P 2.87
Ca 0.6815 0.3185 0.8185  6 P 2.90-3.21
Ca 0.6847 0.6847 0.6847  3 P 2.87
Ca 0.5630 0.0630 0.4370  6 P 2.89-3.20
Ca 0.4370 0.5630 0.0630  6 P 2.89-3.20
Ce 0.0647 0.5647 0.9353  3 P 2.85
Ce 0.9353 0.0647 0.5647  3 P 2.85
Ce 0.4353 0.4353 0.4353  3 P 2.85
Ce 0.5647 0.9353 0.0647  3 P 2.85
P 0.7534 0.6279 0.9996  1 Ce 2.85, 3 Ca 2.87-2.90
P 0.8721 0.0004 0.2534  1 Ce 2.85, 3 Ca 2.87-2.90
P 0.9996 0.7534 0.6279  1 Ce 2.85, 3 Ca 2.87-2.90
P 0.1279 0.5004 0.2466  1 Ce 2.85, 3 Ca 2.87-2.90
P 0.2466 0.1279 0.5004  1 Ce 2.85, 3 Ca 2.87-2.90
P 0.2534 0.8721 0.0004  1 Ce 2.85, 3 Ca 2.87-2.90
P 0.0004 0.2534 0.8721  1 Ce 2.85, 3 Ca 2.87-2.90
P 0.3721 0.4996 0.7466  1 Ce 2.85, 3 Ca 2.87-2.90
P 0.5004 0.2466 0.1279  1 Ce 2.85, 3 Ca 2.87-2.90
P 0.6279 0.9996 0.7534  1 Ce 2.85, 3 Ca 2.87-2.90
P 0.7466 0.3721 0.4996  1 Ce 2.85, 3 Ca 2.87-2.90
P 0.4996 0.7466 0.3721  1 Ce 2.85, 3 Ca 2.87-2.90

Summary:
The calculation puts the total energy at -5.2228 eV/atom. The energy relative to the elements is -1.20 eV/atom.

=====

Record 4
Computed, not measured: a relaxed CoAgCl2 crystal at the PBE-GGA level of DFT.

Lattice parameters (Å, degrees): 9.1210 9.1210 9.1210 20.96 20.96 20.96
With the nearest neighbours (Å) after each atom.
Atoms (fractional coordinates):
Co 0.2500 0.2500 0.2500  6 Cl 2.40
Ag 0.7500 0.7500 0.7500  6 Ag 3.32, 6 Cl 3.57
Cl 0.9707 0.9707 0.9707  3 Co 2.40
Cl 0.5293 0.5293 0.5293  3 Co 2.40

Summary:
The calculation puts the total energy at -3.5525 eV/atom. The formation energy from raw total energies comes out at -14 kJ/mol of atoms.

=====

Record 5
Computed, not measured: a relaxed Zr2UAl crystal at the PBE-GGA level of DFT.

Lattice parameters (Å, degrees): 3.5713 3.5713 6.5724 90.00 90.00 90.00
With the nearest neighbours (Å) after each atom.
Atoms (fractional coordinates):
U 0.5000 0.5000 0.0000  8 Zr 3.02, 2 Al 3.29
Al 0.5000 0.5000 0.5000  8 Zr 3.01, 2 U 3.29
Zr 0.0000 0.0000 0.7483  4 Al 3.01, 4 U 3.02, 2 Zr 3.26-3.31
Zr 0.0000 0.0000 0.2517  4 Al 3.01, 4 U 3.02, 2 Zr 3.26-3.31

Summary:
The calculation puts the total energy at -7.9831 eV/atom. The energy relative to the elements is 0.05 eV/atom.

=====

Record 6
Computed, not measured: a relaxed TlIrSe2 crystal at the PBE-GGA level of DFT.

Lattice parameters (Å, degrees): 3.7646 4.9177 5.6163 64.24 90.00 90.00
With the nearest neighbours (Å) after each atom.
Atoms (fractional coordinates):
Ir 0.5000 0.7500 0.7500  4 Se 2.48
Se 0.0000 0.9631 0.9025  2 Ir 2.48, 1 Se 2.59
Se 0.0000 0.5369 0.5975  2 Ir 2.48, 1 Se 2.59
Tl 0.5000 0.2500 0.2500  2 Ir 2.82

Summary:
The calculation puts the total energy at -4.7566 eV/atom. The formation energy from raw total energies comes out at -20 kJ/mol of atoms.